VASP calculation (PBE) on a relaxed structure of Ni2Ag2Au.

## Properties
The total magnetization is 0.19 μB per atom. The value obtained for the calculated formation energy is 1.71 eV/f.u. Its space group is I4/mmm, No. 139.

Cell and atoms, written as POSCAR:
```
Ni2Ag2Au
1.0
-1.632 1.632 7.742
1.632 -1.632 7.742
1.632 1.632 -7.742
Ni Ag Au
2 2 1
Direct
0.250 0.750 0.500
0.750 0.250 0.500
0.110 0.110 0.000
0.890 0.890 0.000
0.500 0.500 0.000
```